[1]
ZnAg2Rh | PBE-GGA | optimized geometry Values from VASP.

Geometry as Quantum ESPRESSO input:
```
&SYSTEM
  ibrav = 0, nat = 4, ntyp = 3
/
ATOMIC_SPECIES
Zn 65.41 Zn.upf
Ag 107.87 Ag.upf
Rh 102.91 Rh.upf
CELL_PARAMETERS angstrom
2.747 -4.055 0.000
2.747 4.055 0.000
0.000 0.000 2.868
ATOMIC_POSITIONS crystal
Zn 0.000 0.000 0.000
Ag 0.000 0.500 0.500
Ag 0.500 0.000 0.500
Rh 0.500 0.500 0.000
```

Output
DFT formation energy: 0.070 eV per atom
VASP energy: -3.512 eV/atom



[2]
HoAgAu | PBE-GGA | optimized geometry Values from VASP.

Geometry as Quantum ESPRESSO input:
```
&SYSTEM
  ibrav = 0, nat = 3, ntyp = 3
/
ATOMIC_SPECIES
Ho 164.93 Ho.upf
Ag 107.87 Ag.upf
Au 196.97 Au.upf
CELL_PARAMETERS angstrom
0.000 3.337 3.337
3.337 0.000 3.337
3.337 3.337 0.000
ATOMIC_POSITIONS crystal
Ho 0.000 0.000 0.000
Ag 0.500 0.500 0.500
Au 0.250 0.250 0.250
```

Output
ΔE to the lowest computed polymorph: 0.173 eV per atom
DFT formation energy: -0.448 eV per atom
VASP energy: -4.017 eV/atom



[3]
NaCa2H6Rh | PBE-GGA | optimized geometry Values from VASP.

Geometry as Quantum ESPRESSO input:
```
&SYSTEM
  ibrav = 0, nat = 10, ntyp = 4
/
ATOMIC_SPECIES
Na 22.99 Na.upf
Ca 40.08 Ca.upf
H 1.01 H.upf
Rh 102.91 Rh.upf
CELL_PARAMETERS angstrom
4.906 0.000 0.000
-2.453 4.249 0.000
0.000 0.000 6.587
ATOMIC_POSITIONS crystal
Na 0.000 0.000 0.000
Ca 0.333 0.667 0.671
Ca 0.667 0.333 0.329
H 0.163 0.326 0.350
H 0.163 0.837 0.350
H 0.326 0.163 0.650
H 0.674 0.837 0.350
H 0.837 0.163 0.650
H 0.837 0.674 0.650
Rh 0.000 0.000 0.500
```

Output
VASP energy: -3.693 eV/atom



Going through the records in order, we get D(E_F) values of 0.72, 0.60, 0.06 states/eV/atom.